DFT (GGA-PBE) results for CaGe2BiRh after structural relaxation.

Results
- ΔE to the lowest computed polymorph (meV/atom) = 0
- ΔH_f (0 K) (eV per atom) = -0.142

Unit cell a=4.7171 b=4.7171 c=5.9596 alpha=90.00 beta=90.00 gamma=90.00
With the nearest neighbours (Å) after each atom.
Sites, in units of the cell vectors:
Ca: 0.0000 0.0000 0.0000  4 Bi 3.34
Ge: 0.0000 0.5000 0.5000  2 Rh 2.36
Ge: 0.5000 0.0000 0.5000  2 Rh 2.36
Bi: 0.5000 0.5000 0.0000  2 Rh 2.98, 4 Ca 3.34
Rh: 0.5000 0.5000 0.5000  4 Ge 2.36